Computed, not measured: a geometry-optimized KFe2Rh structure at the GGA-PBE level of DFT.

Unit cell a=10.217 b=10.217 c=10.217 alpha=15.70 beta=15.70 gamma=15.70
Fractional positions:
K1 0.000 0.000 0.000
Fe1 0.236 0.236 0.236
Fe2 0.764 0.764 0.764
Rh1 0.500 0.500 0.500

As for the distance to the lowest polymorph of the same formula: 220 meV per atom. Its space group is No. 166. As for the electronic total energy: -22.39 eV/cell. The calculation puts the formation energy from the elements at 288 kJ/mol of formula units.


Computed, not measured: a geometry-optimized Pr7Nd2 structure at the GGA-PBE level of DFT.

Unit cell a=10.156 b=10.156 c=3.633 alpha=90.00 beta=90.00 gamma=120.00
Fractional positions:
Pr1 0.000 0.000 0.000
Pr2 0.000 0.312 0.500
Pr3 0.000 0.647 0.000
Pr4 0.312 0.000 0.500
Pr5 0.353 0.353 0.000
Pr6 0.647 0.000 0.000
Pr7 0.688 0.688 0.500
Nd1 0.333 0.667 0.500
Nd2 0.667 0.333 0.500

As for the distance to the lowest polymorph of the same formula: 25 meV per atom. Its space group is No. 189. As for the electronic total energy: -42.67 eV/cell. The calculation puts the formation energy from the elements at 31 kJ/mol of formula units.


Computed, not measured: a geometry-optimized AcPr2PuAs4 structure at the GGA-PBE level of DFT.

Unit cell a=7.500 b=4.336 c=7.507 alpha=90.00 beta=109.41 gamma=90.00
Fractional positions:
Ac1 0.000 0.000 0.000
Pr1 0.000 0.500 0.500
Pr2 0.500 0.000 0.500
Pu1 0.500 0.500 0.000
As1 0.263 0.000 0.755
As2 0.263 0.500 0.254
As3 0.737 0.000 0.245
As4 0.737 0.500 0.746

Its space group is No. 10. As for the electronic total energy: -57.24 eV/cell. The calculation puts the formation energy from the elements at -1027 kJ/mol of formula units.


Computed, not measured: a geometry-optimized TlZnOs2 structure at the GGA-PBE level of DFT.

Unit cell a=4.347 b=4.347 c=7.064 alpha=105.03 beta=105.03 gamma=38.07
Fractional positions:
Tl1 0.000 0.000 0.000
Zn1 0.261 0.261 0.683
Os1 0.506 0.506 0.461
Os2 0.741 0.741 0.324

As for the distance to the lowest polymorph of the same formula: 299 meV per atom. Its space group is No. 8. As for the electronic total energy: -23.48 eV/cell. The calculation puts the formation energy from the elements at 252 kJ/mol of formula units.


Computed, not measured: a geometry-optimized SmY2Er3Se6 structure at the GGA-PBE level of DFT.

Unit cell a=9.124 b=9.124 c=8.202 alpha=103.52 beta=103.52 gamma=25.69
Fractional positions:
Sm1 0.000 0.000 0.000
Y1 0.335 0.335 0.670
Y2 0.665 0.665 0.330
Er1 0.000 0.000 0.500
Er2 0.335 0.335 0.166
Er3 0.665 0.665 0.834
Se1 0.166 0.166 0.586
Se2 0.171 0.171 0.082
Se3 0.499 0.499 0.259
Se4 0.501 0.501 0.741
Se5 0.829 0.829 0.918
Se6 0.834 0.834 0.414

Its space group is No. 12. As for the electronic total energy: -73.12 eV/cell. The formation energy without anion corrections comes out at -1.74 eV per atom.


Computed, not measured: a geometry-optimized Tb3Np structure at the GGA-PBE level of DFT.

Unit cell a=7.078 b=7.078 c=5.648 alpha=90.00 beta=90.00 gamma=120.00
Fractional positions:
Tb1 0.169 0.338 0.250
Tb2 0.169 0.831 0.250
Tb3 0.338 0.169 0.750
Tb4 0.662 0.831 0.250
Tb5 0.831 0.169 0.750
Tb6 0.831 0.662 0.750
Np1 0.333 0.667 0.750
Np2 0.667 0.333 0.250

As for the distance to the lowest polymorph of the same formula: 0 meV per atom. Its space group is No. 194. As for the electronic total energy: -50.62 eV/cell. The calculation puts the formation energy from the elements at 147 kJ/mol of formula units.


Computed, not measured: a geometry-optimized Sm4C2Cl3 structure at the GGA-PBE level of DFT.

Unit cell a=7.362 b=7.362 c=8.408 alpha=100.47 beta=100.47 gamma=28.07
Fractional positions:
Sm1 0.096 0.096 0.198
Sm2 0.321 0.321 0.393
Sm3 0.679 0.679 0.607
Sm4 0.904 0.904 0.802
C1 0.303 0.303 0.674
C2 0.697 0.697 0.326
Cl1 0.000 0.000 0.500
Cl2 0.417 0.417 0.106
Cl3 0.583 0.583 0.894

As for the distance to the lowest polymorph of the same formula: 145 meV per atom. Its space group is No. 12. As for the electronic total energy: -52.94 eV/cell. The formation energy without anion corrections comes out at -1.12 eV per atom.


Computed, not measured: a geometry-optimized ReRu2W structure at the GGA-PBE level of DFT.

Unit cell a=4.789 b=4.789 c=4.789 alpha=132.24 beta=132.24 gamma=69.85
Fractional positions:
Re1 0.000 0.000 0.000
Ru1 0.250 0.750 0.500
Ru2 0.500 0.500 0.000
W1 0.750 0.250 0.500

As for the distance to the lowest polymorph of the same formula: 33 meV per atom. Its space group is No. 119. As for the electronic total energy: -43.77 eV/cell. The calculation puts the formation energy from the elements at 17 kJ/mol of formula units.


Computed, not measured: a geometry-optimized NdTmIn structure at the GGA-PBE level of DFT.

Unit cell a=8.188 b=8.188 c=4.888 alpha=90.00 beta=90.00 gamma=148.16
Fractional positions:
Nd1 0.231 0.769 0.750
Nd2 0.769 0.231 0.250
Tm1 0.074 0.926 0.250
Tm2 0.926 0.074 0.750
In1 0.418 0.582 0.250
In2 0.582 0.418 0.750

As for the distance to the lowest polymorph of the same formula: 38 meV per atom. Its space group is No. 63. As for the electronic total energy: -25.75 eV/cell. The calculation puts the formation energy from the elements at -86 kJ/mol of formula units.


Computed, not measured: a geometry-optimized BeZn3Te4 structure at the GGA-PBE level of DFT.

Unit cell a=7.397 b=7.397 c=7.397 alpha=131.70 beta=131.70 gamma=70.71
Fractional positions:
Be1 0.000 0.000 0.000
Zn1 0.250 0.750 0.500
Zn2 0.500 0.500 0.000
Zn3 0.750 0.250 0.500
Te1 0.116 0.646 0.000
Te2 0.354 0.354 0.470
Te3 0.646 0.116 0.000
Te4 0.884 0.884 0.530

Its space group is No. 121. As for the electronic total energy: -23.58 eV/cell. The formation energy without anion corrections comes out at -0.43 eV per atom.


Computed, not measured: a geometry-optimized SrInRh structure at the GGA-PBE level of DFT.

Unit cell a=4.843 b=4.843 c=4.843 alpha=60.00 beta=60.00 gamma=60.00
Fractional positions:
Sr1 0.000 0.000 0.000
In1 0.500 0.500 0.500
Rh1 0.750 0.750 0.750

Its space group is No. 216. As for the electronic total energy: -12.60 eV/cell. The calculation puts the formation energy from the elements at -80 kJ/mol of formula units.


Computed, not measured: a geometry-optimized Er2Th2GeIr4 structure at the GGA-PBE level of DFT.

Unit cell a=6.580 b=6.580 c=6.580 alpha=120.56 beta=120.56 gamma=89.03
Fractional positions:
Er1 0.250 0.750 0.500
Er2 0.750 0.250 0.500
Th1 0.191 0.191 0.000
Th2 0.809 0.809 0.000
Ge1 0.500 0.500 0.000
Ir1 0.236 0.236 0.472
Ir2 0.236 0.764 0.000
Ir3 0.764 0.236 0.000
Ir4 0.764 0.764 0.528

Its space group is No. 139. As for the electronic total energy: -66.92 eV/cell. The calculation puts the formation energy from the elements at -279 kJ/mol of formula units.


Computed, not measured: a geometry-optimized RbHfOsS2 structure at the GGA-PBE level of DFT.

Unit cell a=5.026 b=5.026 c=4.879 alpha=90.00 beta=90.00 gamma=90.00
Fractional positions:
Rb1 0.000 0.000 0.000
Hf1 0.500 0.500 0.000
Os1 0.500 0.500 0.500
S1 0.000 0.500 0.500
S2 0.500 0.000 0.500

Its space group is No. 123. As for the electronic total energy: -28.33 eV/cell. The formation energy without anion corrections comes out at 0.42 eV per atom.


Computed, not measured: a geometry-optimized Ac3Mg2Ag3 structure at the GGA-PBE level of DFT.

Unit cell a=8.578 b=16.386 c=6.824 alpha=90.00 beta=90.00 gamma=90.00
Fractional positions:
Ac1 0.036 0.109 0.149
Ac2 0.036 0.391 0.149
Ac3 0.187 0.250 0.616
Ac4 0.313 0.750 0.116
Ac5 0.464 0.609 0.649
Ac6 0.464 0.891 0.649
Ac7 0.536 0.109 0.351
Ac8 0.536 0.391 0.351
Ac9 0.687 0.250 0.884
Ac10 0.813 0.750 0.384
Ac11 0.964 0.609 0.851
Ac12 0.964 0.891 0.851
Mg1 0.106 0.595 0.365
Mg2 0.106 0.905 0.365
Mg3 0.394 0.095 0.865
Mg4 0.394 0.405 0.865
Mg5 0.606 0.595 0.135
Mg6 0.606 0.905 0.135
Mg7 0.894 0.095 0.635
Mg8 0.894 0.405 0.635
Ag1 0.177 0.750 0.589
Ag2 0.197 0.042 0.579
Ag3 0.197 0.458 0.579
Ag4 0.303 0.542 0.079
Ag5 0.303 0.958 0.079
Ag6 0.323 0.250 0.089
Ag7 0.677 0.750 0.911
Ag8 0.697 0.042 0.921
Ag9 0.697 0.458 0.921
Ag10 0.803 0.542 0.421
Ag11 0.803 0.958 0.421
Ag12 0.823 0.250 0.411

As for the distance to the lowest polymorph of the same formula: 0 meV per atom. Its space group is No. 62. As for the electronic total energy: -102.51 eV/cell. The calculation puts the formation energy from the elements at -151 kJ/mol of formula units.


Computed, not measured: a geometry-optimized Rb2SnBr6 structure at the GGA-PBE level of DFT.

Unit cell a=7.761 b=7.761 c=7.761 alpha=60.00 beta=60.00 gamma=60.00
Fractional positions:
Rb1 0.250 0.250 0.250
Rb2 0.750 0.750 0.750
Sn1 0.000 0.000 0.000
Br1 0.242 0.242 0.758
Br2 0.242 0.758 0.242
Br3 0.242 0.758 0.758
Br4 0.758 0.242 0.242
Br5 0.758 0.242 0.758
Br6 0.758 0.758 0.242

Its space group is No. 225. As for the electronic total energy: -26.72 eV/cell. The formation energy without anion corrections comes out at -1.19 eV per atom.


Computed, not measured: a geometry-optimized TcSbTeI2 structure at the GGA-PBE level of DFT.

Unit cell a=5.883 b=5.883 c=6.045 alpha=90.00 beta=90.00 gamma=90.00
Fractional positions:
Tc1 0.000 0.000 0.000
Sb1 0.500 0.500 0.000
Te1 0.500 0.500 0.500
I1 0.000 0.500 0.500
I2 0.500 0.000 0.500

As for the distance to the lowest polymorph of the same formula: 772 meV per atom. Its space group is No. 123. As for the electronic total energy: -14.19 eV/cell. The formation energy without anion corrections comes out at 1.31 eV per atom.


Computed, not measured: a geometry-optimized NbBSe2 structure at the GGA-PBE level of DFT.

Unit cell a=7.581 b=7.581 c=7.581 alpha=25.90 beta=25.90 gamma=25.90
Fractional positions:
Nb1 0.000 0.000 0.000
B1 0.500 0.500 0.500
Se1 0.414 0.414 0.414
Se2 0.586 0.586 0.586

Its space group is No. 166. As for the electronic total energy: -22.64 eV/cell. The formation energy without anion corrections comes out at 0.27 eV per atom.


Computed, not measured: a geometry-optimized MgCdSb structure at the GGA-PBE level of DFT.

Unit cell a=6.663 b=6.663 c=5.773 alpha=90.00 beta=90.00 gamma=143.65
Fractional positions:
Mg1 0.182 0.818 0.750
Mg2 0.818 0.182 0.250
Cd1 0.500 0.500 0.000
Cd2 0.500 0.500 0.500
Sb1 0.146 0.854 0.250
Sb2 0.854 0.146 0.750

As for the distance to the lowest polymorph of the same formula: 32 meV per atom. Its space group is No. 63. As for the electronic total energy: -13.84 eV/cell. The formation energy without anion corrections comes out at -0.10 eV per atom.


Computed, not measured: a geometry-optimized NaNiAs structure at the GGA-PBE level of DFT.

Unit cell a=5.877 b=5.877 c=6.090 alpha=113.62 beta=113.62 gamma=38.10
Fractional positions:
Na1 0.000 0.000 0.000
Na2 0.230 0.230 0.592
Ni1 0.315 0.315 0.186
Ni2 0.513 0.513 0.603
As1 0.704 0.704 0.953
As2 0.915 0.915 0.426

Its space group is No. 8. As for the electronic total energy: -25.18 eV/cell. The calculation puts the formation energy from the elements at -81 kJ/mol of formula units.


Computed, not measured: a geometry-optimized LaTcCl2 structure at the GGA-PBE level of DFT.

Unit cell a=3.402 b=3.402 c=8.176 alpha=90.00 beta=90.00 gamma=90.00
Fractional positions:
La1 0.000 0.000 0.000
Tc1 0.500 0.500 0.273
Cl1 0.000 0.000 0.365
Cl2 0.500 0.500 0.778

As for the distance to the lowest polymorph of the same formula: 218 meV per atom. Its space group is No. 99. As for the electronic total energy: -21.15 eV/cell. The formation energy without anion corrections comes out at -0.54 eV per atom.


Computed, not measured: a geometry-optimized SrSbTe2N structure at the GGA-PBE level of DFT.

Unit cell a=5.198 b=5.198 c=4.619 alpha=90.00 beta=90.00 gamma=90.00
Fractional positions:
Sr1 0.000 0.000 0.000
Sb1 0.500 0.500 0.000
Te1 0.000 0.500 0.500
Te2 0.500 0.000 0.500
N1 0.500 0.500 0.500

As for the distance to the lowest polymorph of the same formula: 33 meV per atom. Its space group is No. 123. As for the electronic total energy: -20.27 eV/cell. The formation energy without anion corrections comes out at 0.03 eV per atom.


Computed, not measured: a geometry-optimized HfIn3B structure at the GGA-PBE level of DFT.

Unit cell a=4.767 b=4.767 c=4.767 alpha=90.00 beta=90.00 gamma=90.00
Fractional positions:
Hf1 0.000 0.000 0.000
In1 0.000 0.500 0.500
In2 0.500 0.000 0.500
In3 0.500 0.500 0.000
B1 0.500 0.500 0.500

As for the distance to the lowest polymorph of the same formula: 0 meV per atom. Its space group is No. 221. As for the electronic total energy: -21.08 eV/cell. The calculation puts the formation energy from the elements at 363 kJ/mol of formula units.


Computed, not measured: a geometry-optimized Ac4SnSb2As structure at the GGA-PBE level of DFT.

Unit cell a=8.172 b=4.703 c=8.311 alpha=90.00 beta=109.06 gamma=90.00
Fractional positions:
Ac1 0.240 0.000 0.239
Ac2 0.246 0.500 0.758
Ac3 0.754 0.500 0.242
Ac4 0.760 0.000 0.761
Sn1 0.000 0.000 0.500
Sb1 0.500 0.000 0.000
Sb2 0.500 0.500 0.500
As1 0.000 0.500 0.000

Its space group is No. 10. As for the electronic total energy: -41.92 eV/cell. The formation energy without anion corrections comes out at -1.07 eV per atom.


Computed, not measured: a geometry-optimized BeAs2W structure at the GGA-PBE level of DFT.

Unit cell a=2.944 b=2.944 c=8.030 alpha=90.00 beta=90.00 gamma=106.88
Fractional positions:
Be1 0.000 0.000 0.000
As1 0.000 0.000 0.560
As2 0.500 0.500 0.170
W1 0.500 0.500 0.798

Its space group is No. 35. As for the electronic total energy: -24.88 eV/cell. The calculation puts the formation energy from the elements at 106 kJ/mol of formula units.


Computed, not measured: a geometry-optimized ZrPd6Pt structure at the GGA-PBE level of DFT.

Unit cell a=5.635 b=5.635 c=4.026 alpha=90.00 beta=90.00 gamma=90.00
Fractional positions:
Zr1 0.000 0.000 0.000
Pd1 0.000 0.500 0.000
Pd2 0.251 0.251 0.500
Pd3 0.251 0.749 0.500
Pd4 0.500 0.000 0.000
Pd5 0.749 0.251 0.500
Pd6 0.749 0.749 0.500
Pt1 0.500 0.500 0.000

As for the distance to the lowest polymorph of the same formula: 0 meV per atom. Its space group is No. 123. As for the electronic total energy: -49.14 eV/cell. The calculation puts the formation energy from the elements at -328 kJ/mol of formula units.